First-principles (PBE) data for a relaxed structure of ZnTe2RuW, as listed in Alexandria.

Cell and atoms, written as POSCAR:
```
ZnTe2RuW
1.0
5.002 0.000 0.000
0.000 5.002 0.000
0.000 0.000 4.694
Zn Te Ru W
1 2 1 1
direct
0.000 0.000 0.000 Zn
0.000 0.500 0.000 Te
0.500 0.000 0.000 Te
0.500 0.500 0.500 Ru
0.000 0.000 0.500 W
```

Summary:
Calculated volume = 23.49 Å³ per atom
Raw total energy = -20.54 eV per cell

First-principles (PBE) data for a relaxed structure of HfBr3F, as listed in Alexandria.

Cell and atoms, written as POSCAR:
```
HfBr3F
1.0
4.846 0.000 0.000
0.000 4.846 0.000
0.000 0.000 4.846
Hf Br F
1 3 1
direct
0.000 0.000 0.000 Hf
0.000 0.500 0.500 Br
0.500 0.000 0.500 Br
0.500 0.500 0.000 Br
0.500 0.500 0.500 F
```

Summary:
Calculated volume = 22.76 Å³ per atom
Relative energy among the computed polymorphs = 2243.0 meV per atom

First-principles (PBE) data for a relaxed structure of Pu3Pa6Rh, as listed in Alexandria.

Cell and atoms, written as POSCAR:
```
Pu3Pa6Rh
1.0
11.079 0.000 0.000
0.000 3.541 0.000
-4.999 0.000 10.990
Pu Pa Rh
6 12 2
direct
0.043 0.250 0.137 Pu
0.252 0.250 0.708 Pu
0.364 0.750 0.514 Pu
0.636 0.250 0.486 Pu
0.748 0.750 0.292 Pu
0.957 0.750 0.863 Pu
0.035 0.250 0.750 Pa
0.147 0.750 0.539 Pa
0.168 0.750 0.062 Pa
0.277 0.250 0.337 Pa
0.343 0.750 0.883 Pa
0.477 0.250 0.695 Pa
0.523 0.750 0.305 Pa
0.657 0.250 0.117 Pa
0.723 0.750 0.663 Pa
0.832 0.250 0.938 Pa
0.853 0.250 0.461 Pa
0.965 0.750 0.250 Pa
0.378 0.250 0.086 Rh
0.622 0.750 0.914 Rh
```

Summary:
Energy of formation from the pure elements = 84 meV per atom
Calculated volume = 21.56 Å³ per atom

First-principles (PBE) data for a relaxed structure of Sr2SmErSe4, as listed in Alexandria.

Cell and atoms, written as POSCAR:
```
Sr2SmErSe4
1.0
7.313 0.000 0.000
0.000 4.221 0.000
-2.437 0.000 7.072
Sr Sm Er Se
2 1 1 4
direct
0.000 0.000 0.000 Sr
0.500 0.500 0.000 Sr
0.000 0.500 0.500 Sm
0.500 0.000 0.500 Er
0.251 0.000 0.734 Se
0.262 0.500 0.270 Se
0.738 0.500 0.730 Se
0.749 0.000 0.266 Se
```

Summary:
Calculated volume = 27.29 Å³ per atom
Raw total energy = -41.63 eV per cell

First-principles (PBE) data for a relaxed structure of Cr2TcBr, as listed in Alexandria.

Cell and atoms, written as POSCAR:
```
Cr2TcBr
1.0
0.000 3.034 3.034
3.034 0.000 3.034
3.034 3.034 0.000
Cr Tc Br
2 1 1
direct
0.250 0.250 0.250 Cr
0.750 0.750 0.750 Cr
0.000 0.000 0.000 Tc
0.500 0.500 0.500 Br
```

Summary:
Calculated volume = 13.97 Å³ per atom
Relative energy among the computed polymorphs = 544.3 meV per atom

First-principles (PBE) data for a relaxed structure of MgFe3H, as listed in Alexandria.

Cell and atoms, written as POSCAR:
```
MgFe3H
1.0
3.768 0.000 0.000
0.000 3.768 0.000
0.000 0.000 3.768
Mg Fe H
1 3 1
direct
0.000 0.000 0.000 Mg
0.000 0.500 0.500 Fe
0.500 0.000 0.500 Fe
0.500 0.500 0.000 Fe
0.500 0.500 0.500 H
```

Summary:
Calculated volume = 10.70 Å³ per atom
Relative energy among the computed polymorphs = 0.0 meV per atom

Look up the calculated volume of the first one. 23.49 Å³ per atom